Entry 1:
{
  "formula": "Li2MgTaAl2Ir2",
  "functional": "GGA-PBE",
  "state": "optimized geometry",
  "cell": [[4.3853, 0.0000, 0.0000], [0.0000, 4.3853, 0.0000], [0.0000, 0.0000, 6.1790]],
  "species": ["Al", "Ir", "Ir", "Mg", "Li", "Al", "Li", "Ta"],
  "fractional_positions": [[0.0000, 0.0000, 0.5000], [0.0000, 0.5000, 0.2701], [0.5000, 0.0000, 0.7299], [0.0000, 0.0000, 0.0000], [0.0000, 0.5000, 0.7651], [0.5000, 0.5000, 0.0000], [0.5000, 0.0000, 0.2349], [0.5000, 0.5000, 0.5000]]
}

Entry 2:
{
  "formula": "Li2Mg2AlZnIr2",
  "functional": "GGA-PBE",
  "state": "optimized geometry",
  "cell": [[-0.4424, 4.3157, 0.3887], [-3.8271, -0.5724, 1.9994], [2.8859, -0.1967, 5.4676]],
  "species": ["Ir", "Ir", "Zn", "Mg", "Mg", "Al", "Li", "Li"],
  "fractional_positions": [[0.0000, 0.5000, 0.7411], [0.5000, 0.0000, 0.2589], [0.5000, 0.5000, 0.0000], [0.0000, 0.0000, 0.0000], [0.5000, 0.5000, 0.5000], [0.0000, 0.0000, 0.5000], [0.0000, 0.5000, 0.2454], [0.5000, 0.0000, 0.7546]]
}

Entry 3:
{
  "formula": "LiMg2ZrAl2Ir2",
  "functional": "GGA-PBE",
  "state": "optimized geometry",
  "cell": [[-2.5513, 2.8022, -2.0512], [-2.2211, -3.2733, -1.7092], [-4.2094, 0.0714, 5.3333]],
  "species": ["Mg", "Li", "Al", "Zr", "Ir", "Ir", "Al", "Mg"],
  "fractional_positions": [[0.0000, 0.5000, 0.2229], [0.5000, 0.5000, 0.0000], [0.5000, 0.0000, 0.2250], [0.0000, 0.0000, 0.5000], [0.5000, 0.5000, 0.5000], [0.0000, 0.0000, 0.0000], [0.0000, 0.5000, 0.7750], [0.5000, 0.0000, 0.7771]]
}

Entry 4:
{
  "formula": "Li2Nb2Al2IrOs",
  "functional": "GGA-PBE",
  "state": "optimized geometry",
  "cell": [[4.3626, 0.0000, 0.0000], [0.0000, 4.3626, 0.0000], [0.0000, 0.0000, 6.1677]],
  "species": ["Al", "Os", "Nb", "Al", "Ir", "Li", "Li", "Nb"],
  "fractional_positions": [[0.5000, 0.0000, 0.2475], [0.5000, 0.5000, 0.0000], [0.0000, 0.5000, 0.2480], [0.0000, 0.5000, 0.7525], [0.0000, 0.0000, 0.5000], [0.0000, 0.0000, 0.0000], [0.5000, 0.5000, 0.5000], [0.5000, 0.0000, 0.7520]]
}

Number 1: electronic total energy -47.09 eV/f.u.. Number 2: electronic total energy -33.34 eV/f.u.. Number 3: electronic total energy -42.90 eV/f.u.. Number 4: electronic total energy -55.72 eV/f.u..